Material: Ba6Si2I3Br
Method: DFT, GGA-PBE
State: optimized geometry

Unit cell a=4.8901 b=10.1892 c=11.3085 alpha=104.85 beta=102.49 gamma=90.00
Fractional coordinates of all 12 atoms:
Ba (0.3300, 0.8801, 0.6601)
Ba (0.6776, 0.5546, 0.3553)
Ba (0.6700, 0.1199, 0.3399)
Ba (0.0182, 0.2494, 0.0363)
Ba (0.9818, 0.7506, 0.9637)
Ba (0.3224, 0.4454, 0.6447)
Si (0.8378, 0.6759, 0.6755)
Si (0.1622, 0.3241, 0.3245)
I (0.5000, 0.5000, 0.0000)
I (0.8415, 0.1685, 0.6830)
I (0.1585, 0.8315, 0.3170)
Br (0.5000, 0.0000, 0.0000)

Computed properties:
- space-group type = C2/m
- energy relative to the elements, uncorrected (eV/atom) = -1.13
- density of states at the Fermi level (states/eV/f.u.) = 4.9
- calculated total energy (eV/atom) = -3.53
- V (Å³/atom) = 44.24